Record 1
Material: TiCdF2
Method: DFT, PBE
State: relaxed

Summary:
As for the energy above the most stable polymorph in this dataset: 0.8068 eV per atom. The density of states at the Fermi level is 2.24 states/eV/f.u. As for the crystal system: cubic.

a = 4.3891 Å, b = 4.3891 Å, c = 4.3891 Å
α = 60.00°, β = 60.00°, γ = 60.00°
Sites, in units of the cell vectors:
1 Ti 0.0000 0.0000 0.0000
2 Cd 0.5000 0.5000 0.5000
3 F 0.2500 0.2500 0.2500
4 F 0.7500 0.7500 0.7500

=====

Record 2
Material: TiCdF5
Method: DFT, PBE
State: relaxed

Summary:
The density of states at the Fermi level is 1.97 states/eV/f.u. As for the crystal system: monoclinic.

a = 5.6466 Å, b = 5.6466 Å, c = 7.7141 Å
α = 109.65°, β = 109.65°, γ = 72.48°
Sites, in units of the cell vectors:
1 Ti 0.0000 0.0000 0.0000
2 Ti 0.0000 0.0000 0.5000
3 Cd 0.4613 0.5387 0.7500
4 Cd 0.5387 0.4613 0.2500
5 F 0.0952 0.9048 0.7500
6 F 0.2089 0.2491 0.6187
7 F 0.2491 0.2089 0.1187
8 F 0.2869 0.6874 0.0277
9 F 0.3126 0.7131 0.4723
10 F 0.6874 0.2869 0.5277
11 F 0.7131 0.3126 0.9723
12 F 0.7509 0.7911 0.8813
13 F 0.7911 0.7509 0.3813
14 F 0.9048 0.0952 0.2500

=====

Record 3
Material: TiCdF3
Method: DFT, PBE
State: relaxed

Summary:
As for the energy above the most stable polymorph in this dataset: 0.0000 eV per atom. The density of states at the Fermi level is 6.70 states/eV/f.u. As for the crystal system: cubic.

a = 4.1888 Å, b = 4.1888 Å, c = 4.1888 Å
α = 90.00°, β = 90.00°, γ = 90.00°
Sites, in units of the cell vectors:
1 Ti 0.0000 0.0000 0.0000
2 Cd 0.5000 0.5000 0.5000
3 F 0.0000 0.0000 0.5000
4 F 0.0000 0.5000 0.0000
5 F 0.5000 0.0000 0.0000

=====

Record 4
Material: TiCdF2
Method: DFT, PBE
State: relaxed

Summary:
As for the energy above the most stable polymorph in this dataset: 0.0000 eV per atom. The density of states at the Fermi level is 2.01 states/eV/f.u. As for the crystal system: trigonal.

a = 8.8987 Å, b = 8.8987 Å, c = 8.8987 Å
α = 18.44°, β = 18.44°, γ = 18.44°
Sites, in units of the cell vectors:
1 Ti 0.0000 0.0000 0.0000
2 Cd 0.5000 0.5000 0.5000
3 F 0.3866 0.3866 0.3866
4 F 0.6134 0.6134 0.6134

=====

Record 5
Material: Ti3CdF
Method: DFT, PBE
State: relaxed

Summary:
As for the energy above the most stable polymorph in this dataset: 0.0000 eV per atom. The density of states at the Fermi level is 8.23 states/eV/f.u. As for the crystal system: cubic.

a = 4.2792 Å, b = 4.2792 Å, c = 4.2792 Å
α = 90.00°, β = 90.00°, γ = 90.00°
Sites, in units of the cell vectors:
1 Ti 0.0000 0.0000 0.5000
2 Ti 0.0000 0.5000 0.0000
3 Ti 0.5000 0.0000 0.0000
4 Cd 0.5000 0.5000 0.5000
5 F 0.0000 0.0000 0.0000

=====

Record 6
Material: Ti2CdF
Method: DFT, PBE
State: relaxed

Summary:
As for the energy above the most stable polymorph in this dataset: 0.0000 eV per atom. The density of states at the Fermi level is 3.33 states/eV/f.u. As for the crystal system: tetragonal.

a = 7.2169 Å, b = 7.2169 Å, c = 7.2169 Å
α = 139.73°, β = 139.73°, γ = 58.26°
Sites, in units of the cell vectors:
1 Ti 0.3750 0.1901 0.3151
2 Ti 0.8099 0.1250 0.1849
3 Ti 0.8750 0.0599 0.6849
4 Ti 0.9401 0.6250 0.8151
5 Cd 0.2500 0.7500 0.5000
6 Cd 0.5000 0.5000 0.0000
7 F 0.0000 0.0000 0.0000
8 F 0.7500 0.2500 0.5000

=====

Record 7
Material: Ti2CdF2
Method: DFT, PBE
State: relaxed

Summary:
As for the energy above the most stable polymorph in this dataset: 0.1457 eV per atom. The density of states at the Fermi level is 2.67 states/eV/f.u. As for the crystal system: tetragonal.

a = 7.3394 Å, b = 7.3394 Å, c = 2.6125 Å
α = 90.00°, β = 90.00°, γ = 90.00°
Sites, in units of the cell vectors:
1 Ti 0.1651 0.3349 0.0000
2 Ti 0.3349 0.8349 0.0000
3 Ti 0.6651 0.1651 0.0000
4 Ti 0.8349 0.6651 0.0000
5 Cd 0.0000 0.0000 0.5000
6 Cd 0.5000 0.5000 0.5000
7 F 0.1096 0.6096 0.5000
8 F 0.3904 0.1096 0.5000
9 F 0.6096 0.8904 0.5000
10 F 0.8904 0.3904 0.5000

=====

Record 8
Material: TiTlCdF6
Method: DFT, PBE
State: relaxed

Summary:
The density of states at the Fermi level is 4.82 states/eV/f.u. As for the crystal system: trigonal.

a = 5.9258 Å, b = 5.9258 Å, c = 11.0031 Å
α = 90.00°, β = 90.00°, γ = 120.00°
Sites, in units of the cell vectors:
1 Ti 0.3333 0.6667 0.2500
2 Ti 0.6667 0.3333 0.7500
3 Tl 0.0000 0.0000 0.0000
4 Tl 0.0000 0.0000 0.5000
5 Cd 0.3333 0.6667 0.7500
6 Cd 0.6667 0.3333 0.2500
7 F 0.0378 0.4009 0.1518
8 F 0.0378 0.6369 0.3482
9 F 0.3631 0.4009 0.3482
10 F 0.3631 0.9622 0.1518
11 F 0.4009 0.0378 0.6518
12 F 0.4009 0.3631 0.8482
13 F 0.5991 0.6369 0.1518
14 F 0.5991 0.9622 0.3482
15 F 0.6369 0.0378 0.8482
16 F 0.6369 0.5991 0.6518
17 F 0.9622 0.3631 0.6518
18 F 0.9622 0.5991 0.8482

=====

Number 1: M_tot 2.000 μB/cell, raw formation energy -1.169 eV/atom. Number 2: M_tot 1.998 μB/cell, raw formation energy -2.832 eV/atom. Number 3: M_tot 1.093 μB/cell, raw formation energy -2.238 eV/atom. Number 4: M_tot 0.000 μB/cell, raw formation energy -1.976 eV/atom. Number 5: M_tot 1.547 μB/cell, raw formation energy -0.516 eV/atom. Number 6: M_tot 0.000 μB/cell, raw formation energy -0.401 eV/atom. Number 7: M_tot 0.000 μB/cell, raw formation energy -1.014 eV/atom. Number 8: M_tot 2.003 μB/cell, raw formation energy -2.610 eV/atom.